Entry 1:
A relaxed Rb4LaPa3O12 crystal. Source: the Alexandria database, functional GGA-PBE.

abc: 8.935 8.935 8.935
angles: 90.00 90.00 90.00
Space group Im-3m (No. 229)
Asymmetric unit:
1 Rb 0.250 0.250 0.250 (multiplicity 8)
2 La 0.000 0.000 0.000 (multiplicity 2)
3 Pa 0.000 0.000 0.500 (multiplicity 6)
4 O 0.000 0.000 0.268 (multiplicity 12)
5 O 0.000 0.250 0.500 (multiplicity 12)

Computed properties:
Magnetic moment, μB/cell: 0.0
E_form (uncorrected), eV/atom: -2.83
Density of states at the Fermi level, states/eV/cell: 39.33
Crystal system: cubic

Entry 2:
A relaxed PrCdIn3 crystal. Source: the Alexandria database, functional GGA-PBE.

abc: 7.1929 7.1929 6.2321
angles: 90.00 90.00 120.00
Space group P6_3/mmc (No. 194)
Asymmetric unit:
1 Pr 0.3333 0.6667 0.2500 (multiplicity 2)
2 Cd 0.0000 0.0000 0.0000 (multiplicity 2)
3 In 0.1975 0.3949 0.7500 (multiplicity 6)

Computed properties:
Energy of formation, meV/atom: -112
Magnetic moment, μB/cell: 0.0
Density of states at the Fermi level, states/eV/cell: 5.20
E above lowest polymorph, kJ per mole of atoms: 10.7
Crystal system: hexagonal

Entry 3:
A relaxed Sn2SbTe crystal. Source: the Alexandria database, functional GGA-PBE.

abc: 6.216 6.216 12.906
angles: 90.00 90.00 90.00
Space group Pmna (No. 53)
Asymmetric unit:
1 Sn 0.000 0.249 0.114 (multiplicity 4)
2 Sn 0.000 0.250 0.637 (multiplicity 4)
3 Sb 0.000 0.251 0.875 (multiplicity 4)
4 Te 0.000 0.249 0.375 (multiplicity 4)

Computed properties:
Magnetic moment, μB/cell: 0.0
E_form (uncorrected), eV/atom: -0.11
Density of states at the Fermi level, states/eV/cell: 10.97
E above lowest polymorph, kJ per mole of atoms: 0.0
Crystal system: orthorhombic

Entry 4:
A relaxed PrCu10Pt2 crystal. Source: the Alexandria database, functional GGA-PBE.

abc: 5.252 11.829 12.239
angles: 90.00 90.00 90.00
Space group Fmmm (No. 69)
Asymmetric unit:
1 Pr 0.000 0.000 0.000 (multiplicity 4)
2 Cu 0.000 0.109 0.382 (multiplicity 16)
3 Cu 0.000 0.175 0.179 (multiplicity 16)
4 Cu 0.250 0.000 0.250 (multiplicity 8)
5 Pt 0.250 0.250 0.000 (multiplicity 8)

Computed properties:
Energy of formation, meV/atom: -154
Magnetic moment, μB/cell: 0.0
Density of states at the Fermi level, states/eV/cell: 22.89
Crystal system: orthorhombic

Entry 5:
A relaxed LiBiPd3 crystal. Source: the Alexandria database, functional GGA-PBE.

abc: 4.424 4.424 4.424
angles: 90.00 90.00 90.00
Space group Pm-3m (No. 221)
Asymmetric unit:
1 Li 0.000 0.000 0.000 (multiplicity 1)
2 Bi 0.500 0.500 0.500 (multiplicity 1)
3 Pd 0.000 0.000 0.500 (multiplicity 3)

Computed properties:
Energy of formation, meV/atom: 20
Magnetic moment, μB/cell: 0.0
Density of states at the Fermi level, states/eV/cell: 3.39
E above lowest polymorph, kJ per mole of atoms: 28.6
Crystal system: cubic

Entry 6:
A relaxed NdBe crystal. Source: the Alexandria database, functional GGA-PBE.

abc: 4.898 4.116 4.912
angles: 90.00 119.81 90.00
Space group P2_1/m (No. 11)
Asymmetric unit:
1 Nd 0.166 0.250 0.333 (multiplicity 2)
2 Be 0.499 0.250 0.998 (multiplicity 2)

Computed properties:
Energy of formation, meV/atom: 47
Magnetic moment, μB/cell: 0.0
Density of states at the Fermi level, states/eV/cell: 1.40
Crystal system: monoclinic

Entry 7:
A relaxed SrGePt crystal. Source: the Alexandria database, functional GGA-PBE.

abc: 4.3192 4.3192 4.5431
angles: 90.00 90.00 120.00
Space group P-6m2 (No. 187)
Asymmetric unit:
1 Sr 0.0000 0.0000 0.0000 (multiplicity 1)
2 Ge 0.3333 0.6667 0.5000 (multiplicity 1)
3 Pt 0.6667 0.3333 0.5000 (multiplicity 1)

Computed properties:
Energy of formation, meV/atom: -850
Magnetic moment, μB/cell: 0.0
Density of states at the Fermi level, states/eV/cell: 1.69
Crystal system: hexagonal

Entry 8:
A relaxed SrMgAu2 crystal. Source: the Alexandria database, functional GGA-PBE.

abc: 5.243 5.243 17.672
angles: 90.00 90.00 90.00
Space group I-42d (No. 122)
Asymmetric unit:
1 Sr 0.000 0.000 0.000 (multiplicity 4)
2 Mg 0.000 0.000 0.500 (multiplicity 4)
3 Au 0.103 0.250 0.625 (multiplicity 8)

Computed properties:
Energy of formation, meV/atom: -379
Magnetic moment, μB/cell: 0.0
Density of states at the Fermi level, states/eV/cell: 8.11
Crystal system: tetragonal

Entry 9:
A relaxed AlCuBr3 crystal. Source: the Alexandria database, functional GGA-PBE.

abc: 5.119 5.119 5.119
angles: 90.00 90.00 90.00
Space group Pm-3m (No. 221)
Asymmetric unit:
1 Al 0.000 0.000 0.000 (multiplicity 1)
2 Cu 0.500 0.500 0.500 (multiplicity 1)
3 Br 0.000 0.000 0.500 (multiplicity 3)

Computed properties:
Magnetic moment, μB/cell: 0.0
E_form (uncorrected), eV/atom: -0.10
Density of states at the Fermi level, states/eV/cell: 1.32
E above lowest polymorph, kJ per mole of atoms: 3.6
Crystal system: cubic

Entry 10:
A relaxed UBN2 crystal. Source: the Alexandria database, functional GGA-PBE.

abc: 2.8905 2.8905 17.2893
angles: 90.00 90.00 120.00
Space group R-3m (No. 166, hexagonal axes)
Asymmetric unit:
1 U 0.0000 0.0000 0.0000 (multiplicity 3)
2 B 0.0000 0.0000 0.5000 (multiplicity 3)
3 N 0.0000 0.0000 0.1173 (multiplicity 6)

Computed properties:
Magnetic moment, μB/cell: 2.5
E_form (uncorrected), eV/atom: 0.61
Density of states at the Fermi level, states/eV/cell: 10.65
Crystal system: trigonal

Entry 11:
A relaxed SrSeOF2 crystal. Source: the Alexandria database, functional GGA-PBE.

abc: 4.618 4.618 5.136
angles: 90.00 90.00 90.00
Space group P4/mmm (No. 123)
Asymmetric unit:
1 Sr 0.000 0.000 0.000 (multiplicity 1)
2 Se 0.500 0.500 0.500 (multiplicity 1)
3 O 0.000 0.000 0.500 (multiplicity 1)
4 F 0.000 0.500 0.000 (multiplicity 2)

Computed properties:
Magnetic moment, μB/cell: 1.3
E_form (uncorrected), eV/atom: -1.30
Density of states at the Fermi level, states/eV/cell: 5.81
E above lowest polymorph, kJ per mole of atoms: 32.3
Crystal system: tetragonal

Entry 12:
A relaxed Nd12Dy5Te3 crystal. Source: the Alexandria database, functional GGA-PBE.

abc: 18.358 18.358 18.358
angles: 90.00 90.00 90.00
Space group Ia-3d (No. 230)
Asymmetric unit:
1 Nd 0.008 0.075 0.653 (multiplicity 96)
2 Dy 0.000 0.000 0.000 (multiplicity 16)
3 Dy 0.000 0.250 0.375 (multiplicity 24)
4 Te 0.000 0.250 0.125 (multiplicity 24)

Computed properties:
Magnetic moment, μB/cell: 0.0
E_form (uncorrected), eV/atom: 0.42
Density of states at the Fermi level, states/eV/cell: 188.70
Crystal system: cubic